A plane-wave DFT calculation with PBE+U was carried out for crystalline Mg2VB2O6 at its relaxed geometry.

Properties
**M_tot**: 3.0 μB/f.u.
**E**: -7.19 eV/atom

Lattice parameters (Å, degrees): 5.0170 5.0170 5.6234 90.00 90.00 120.00
Closest atoms and distances in Å follow each position.
Space group P-3 (No. 147)
Asymmetric unit:
Mg1 0.3333 0.6667 0.3205 x2  3 O 1.95
V1 0.0000 0.0000 0.0000 x1  6 O 2.22
B1 0.3333 0.6667 0.7773 x2  3 O 1.38
O1 0.0658 0.6822 0.7653 x6  1 B 1.38